## Mn2SbCl (PBE)

Data for a geometry-optimized Mn2SbCl structure.

Cell and atoms, written as POSCAR:
```
Mn2SbCl
1.0
6.8815 0.0000 0.0000
0.0000 6.8815 0.0000
0.0000 0.0000 6.8815
Mn Sb Cl
8 4 4
direct
0.0000 0.0000 0.0000 Mn
0.0000 0.5000 0.5000 Mn
0.2500 0.2500 0.2500 Mn
0.2500 0.7500 0.7500 Mn
0.5000 0.0000 0.5000 Mn
0.5000 0.5000 0.0000 Mn
0.7500 0.2500 0.7500 Mn
0.7500 0.7500 0.2500 Mn
0.2500 0.2500 0.7500 Sb
0.2500 0.7500 0.2500 Sb
0.7500 0.2500 0.2500 Sb
0.7500 0.7500 0.7500 Sb
0.0000 0.0000 0.5000 Cl
0.0000 0.5000 0.0000 Cl
0.5000 0.0000 0.0000 Cl
0.5000 0.5000 0.5000 Cl
```

Calculated values
V   81.5 Å³/f.u.
E_form (uncorrected)   595 meV per atom
Calculated total energy   -87.71 eV per cell
Relative energy among the computed polymorphs   0.653 eV per atom



## Mn2SbCl (PBE)

Data for a geometry-optimized Mn2SbCl structure.

Cell and atoms, written as POSCAR:
```
Mn2SbCl
1.0
3.9424 0.0000 0.0000
0.0000 5.7993 0.0000
0.0000 0.0000 7.2278
Mn Sb Cl
4 2 2
direct
0.0000 0.0000 0.2189 Mn
0.0000 0.0000 0.7811 Mn
0.5000 0.5000 0.2811 Mn
0.5000 0.5000 0.7189 Mn
0.0000 0.5000 0.0000 Sb
0.5000 0.0000 0.5000 Sb
0.0000 0.5000 0.5000 Cl
0.5000 0.0000 0.0000 Cl
```

Calculated values
V   82.6 Å³/f.u.
E_form (uncorrected)   213 meV per atom
Calculated total energy   -46.91 eV per cell
Relative energy among the computed polymorphs   0.271 eV per atom



## MnSbCl2 (PBE)

Data for a geometry-optimized MnSbCl2 structure.

Cell and atoms, written as POSCAR:
```
MnSbCl2
1.0
3.4073 0.0000 0.0000
0.0000 5.2640 0.0000
0.0000 0.0000 13.9351
Mn Sb Cl
2 2 4
direct
0.0000 0.0000 0.0000 Mn
0.5000 0.5000 0.5000 Mn
0.0000 0.5000 0.6541 Sb
0.5000 0.0000 0.1541 Sb
0.0000 0.0000 0.5983 Cl
0.0000 0.5000 0.3834 Cl
0.5000 0.0000 0.8834 Cl
0.5000 0.5000 0.0983 Cl
```

Calculated values
V   125.0 Å³/f.u.
E_form (uncorrected)   -440 meV per atom
Calculated total energy   -37.49 eV per cell
Relative energy among the computed polymorphs   0.068 eV per atom



## Mn3SbCl (PBE)

Data for a geometry-optimized Mn3SbCl structure.

Cell and atoms, written as POSCAR:
```
Mn3SbCl
1.0
5.1572 0.0000 0.0000
0.0000 5.1572 0.0000
0.0000 0.0000 5.1572
Mn Sb Cl
3 1 1
direct
0.0000 0.0000 0.5000 Mn
0.0000 0.5000 0.0000 Mn
0.5000 0.0000 0.0000 Mn
0.0000 0.0000 0.0000 Sb
0.5000 0.5000 0.5000 Cl
```

Calculated values
V   137.2 Å³/f.u.
E_form (uncorrected)   745 meV per atom
Calculated total energy   -29.75 eV per cell
Relative energy among the computed polymorphs   0.131 eV per atom



## Mn2SbCl (PBE)

Data for a geometry-optimized Mn2SbCl structure.

Cell and atoms, written as POSCAR:
```
Mn2SbCl
1.0
3.0469 0.0000 0.0000
0.0000 5.1297 0.0000
0.0000 0.0000 10.1558
Mn Sb Cl
4 2 2
direct
0.0000 0.0000 0.0000 Mn
0.0000 0.5000 0.2665 Mn
0.5000 0.0000 0.7665 Mn
0.5000 0.5000 0.5000 Mn
0.0000 0.5000 0.7527 Sb
0.5000 0.0000 0.2527 Sb
0.0000 0.0000 0.5566 Cl
0.5000 0.5000 0.0566 Cl
```

Calculated values
V   79.4 Å³/f.u.
E_form (uncorrected)   194 meV per atom
Calculated total energy   -47.06 eV per cell
Relative energy among the computed polymorphs   0.252 eV per atom



## MnSbCl2 (PBE)

Data for a geometry-optimized MnSbCl2 structure.

Cell and atoms, written as POSCAR:
```
MnSbCl2
1.0
4.4304 0.0000 0.0000
0.0000 4.4304 0.0000
0.0000 0.0000 8.9766
Mn Sb Cl
2 2 4
direct
0.0000 0.0000 0.0000 Mn
0.5000 0.5000 0.5000 Mn
0.0000 0.0000 0.5000 Sb
0.5000 0.5000 0.0000 Sb
0.0000 0.5000 0.2500 Cl
0.0000 0.5000 0.7500 Cl
0.5000 0.0000 0.2500 Cl
0.5000 0.0000 0.7500 Cl
```

Calculated values
V   88.1 Å³/f.u.
E_form (uncorrected)   121 meV per atom
Calculated total energy   -33.00 eV per cell
Relative energy among the computed polymorphs   0.629 eV per atom